1.
## Tl15InPb4 (GGA-PBE)

Data for crystalline Tl15InPb4 at its relaxed geometry.

The value obtained for the formation energy is 0.5 kJ/mol of atoms.

The structure belongs to space group P4/mmm (No. 123); the cell edges are 5.343, 5.343 and 21.426 Å and the angles 90.00°, 90.00° and 90.00°. Symmetry generates all atoms from Tl at (0.000, 0.000, 0.000), Tl at (0.000, 0.000, 0.196), Tl at (0.000, 0.000, 0.398), Tl at (0.000, 0.500, 0.096), Tl at (0.000, 0.500, 0.297), Tl at (0.000, 0.500, 0.500), In at (0.500, 0.500, 0.000), Pb at (0.500, 0.500, 0.196) and Pb at (0.500, 0.500, 0.398).



2.
## TlIn2Pb (GGA-PBE)

Data for crystalline TlIn2Pb at its relaxed geometry.

The value obtained for the formation energy is 1.6 kJ/mol of atoms. Its energy relative to the lowest polymorph listed for this composition is 21 meV/atom.

The structure belongs to space group Cm (No. 8); the cell edges are 11.432, 3.422 and 6.017 Å and the angles 90.00°, 98.13° and 90.00°. Symmetry generates all atoms from Tl at (0.000, 0.000, 0.000), In at (0.003, 0.500, 0.509), In at (0.249, 0.000, 0.759) and Pb at (0.253, 0.500, 0.269).



3.
## Tl2In5Pb2 (GGA-PBE)

Data for crystalline Tl2In5Pb2 at its relaxed geometry.

The value obtained for the formation energy is 3.5 kJ/mol of atoms.

The structure belongs to space group C2/m (No. 12); the cell edges are 19.990, 3.298 and 8.185 Å and the angles 90.00°, 99.84° and 90.00°. Symmetry generates all atoms from Tl at (0.173, 0.000, 0.017), In at (0.000, 0.000, 0.000), In at (0.058, 0.000, 0.668), In at (0.221, 0.000, 0.650) and Pb at (0.104, 0.500, 0.337).



4.
## Tl2InPb (GGA-PBE)

Data for crystalline Tl2InPb at its relaxed geometry.

The value obtained for the formation energy is 1.3 kJ/mol of atoms. Its energy relative to the lowest polymorph listed for this composition is 16 meV/atom.

The structure belongs to space group P4mm (No. 99); the cell edges are 3.918, 3.918 and 7.938 Å and the angles 90.00°, 90.00° and 90.00°. Symmetry generates all atoms from Tl at (0.000, 0.000, 0.000), Tl at (0.500, 0.500, 0.272), In at (0.000, 0.000, 0.507) and Pb at (0.500, 0.500, 0.733).



5.
## Tl5InPb5 (GGA-PBE)

Data for crystalline Tl5InPb5 at its relaxed geometry.

The value obtained for the formation energy is 4.6 kJ/mol of atoms.

The structure belongs to space group P-1 (No. 2); the cell edges are 6.785, 6.991 and 8.295 Å and the angles 77.23°, 76.06° and 69.13°. Symmetry generates all atoms from Tl at (0.000, 0.000, 0.000), Tl at (0.301, 0.802, 0.657), Tl at (0.363, 0.262, 0.720), In at (0.000, 0.500, 0.000), Pb at (0.138, 0.656, 0.360), Pb at (0.226, 0.180, 0.290) and Pb at (0.500, 0.500, 0.000).



6.
## Tl7In4Pb (GGA-PBE)

Data for crystalline Tl7In4Pb at its relaxed geometry.

The value obtained for the formation energy is 1.1 kJ/mol of atoms. Its energy relative to the lowest polymorph listed for this composition is 0 meV/atom.

The structure belongs to space group P-3m1 (No. 164); the cell edges are 5.5300, 5.5300 and 13.4358 Å and the angles 90.00°, 90.00° and 120.00°. Symmetry generates all atoms from Tl at (0.0000, 0.0000, 0.0000), Tl at (0.0000, 0.0000, 0.2500), Tl at (0.3333, 0.6667, 0.1493), Tl at (0.3333, 0.6667, 0.4044), In at (0.3333, 0.6667, 0.6598), In at (0.3333, 0.6667, 0.9024) and Pb at (0.0000, 0.0000, 0.5000).



Q: What is the formation energy in the fifth record?
A: 4.6 kJ/mol of atoms